(1)
An optimized crystal structure of LaBe2Ni, computed with PBE.

```
data_LaBe2Ni
_space_group_name_H-M_alt 'P m m m'
_space_group_IT_number 47
_cell_length_a 2.8265
_cell_length_b 3.0570
_cell_length_c 6.7474
_cell_angle_alpha 90.00
_cell_angle_beta 90.00
_cell_angle_gamma 90.00
loop_
_space_group_symop_operation_xyz
'x,y,z'
'-x,-y,-z'
'-x,-y,z'
'x,y,-z'
'x,-y,-z'
'-x,y,z'
'-x,y,-z'
'x,-y,z'
loop_
_atom_site_label
_atom_site_fract_x
_atom_site_fract_y
_atom_site_fract_z
La1 0.0000 0.0000 0.0000
Be1 0.5000 0.5000 0.3440
Ni1 0.0000 0.0000 0.5000
```

Calculated values
Total energy in eV per atom: -4.500

---

(2)
An optimized crystal structure of LaBe2Ni, computed with PBE.

```
data_LaBe2Ni
_space_group_name_H-M_alt 'C 1 2/m 1'
_space_group_IT_number 12
_cell_length_a 6.5875
_cell_length_b 3.8036
_cell_length_c 5.5987
_cell_angle_alpha 90.00
_cell_angle_beta 112.90
_cell_angle_gamma 90.00
loop_
_space_group_symop_operation_xyz
'x,y,z'
'-x,-y,-z'
'-x,y,-z'
'x,-y,z'
'x+1/2,y+1/2,z'
'-x+1/2,-y+1/2,-z'
'-x+1/2,y+1/2,-z'
'x+1/2,-y+1/2,z'
loop_
_atom_site_label
_atom_site_fract_x
_atom_site_fract_y
_atom_site_fract_z
La1 0.0000 0.0000 0.0000
Be1 0.1876 0.0000 0.5630
Ni1 0.0000 0.5000 0.5000
```

Calculated values
Total energy in eV per atom: -4.733

---

(3)
An optimized crystal structure of LaBe2Ni, computed with PBE.

```
data_LaBe2Ni
_space_group_name_H-M_alt 'I m m m'
_space_group_IT_number 71
_space_group_name_Hall '-I 2 2'
_cell_length_a 3.8586
_cell_length_b 5.4154
_cell_length_c 6.6309
_cell_angle_alpha 90.00
_cell_angle_beta 90.00
_cell_angle_gamma 90.00
loop_
_atom_site_label
_atom_site_fract_x
_atom_site_fract_y
_atom_site_fract_z
La1 0.0000 0.0000 0.0000
Be1 0.0000 0.5000 0.1598
Ni1 0.0000 0.0000 0.5000
```

Calculated values
Total energy in eV per atom: -4.362

---

What DOS at the Fermi energy values result from the calculations? In sequence: 0.65 0.79 0.69 states/eV per atom.
What formation energy values result from the calculations? In sequence: 0.040 -0.193 0.179 eV per atom.
What relative energy among the computed polymorphs values result from the calculations? In sequence: 0.238 0.005 0.377 eV/atom.